A geometry-optimized Ce2Ga4CoCu3 structure, computed with GGA-PBE.

For the formation energy, the calculation gives -0.3760 eV/atom. The total energy comes out at -47.13 eV for the cell shown. As for the density of states at the Fermi level: 1.30 states/eV per atom.

The space group is P-4m2 (No. 115) and the conventional cell measures 4.198, 4.198 and 9.962 Å, with angles of 90.00, 90.00 and 90.00 degrees. Symmetry generates all atoms from Ce at (0.000, 0.500, 0.240), Ga at (0.000, 0.000, 0.500), Ga at (0.000, 0.500, 0.877), Ga at (0.500, 0.500, 0.500), Co at (0.500, 0.500, 0.000), Cu at (0.000, 0.000, 0.000) and Cu at (0.000, 0.500, 0.634).